Record 1
TbNdO3 (PBE-GGA, relaxed); space-group type = P-6m2 (187); magnetic moment = 0.000 μB/f.u.; uncorrected formation energy = -16.236 eV/f.u.
1.0
6.1258 0.0000 0.0000
-3.0629 5.3051 0.0000
0.0000 0.0000 3.1408
Tb Nd O
1 1 3
direct
0.0000 0.0000 0.0000
0.6667 0.3333 0.0000
0.3246 0.1623 0.5000
0.8377 0.1623 0.5000
0.8377 0.6754 0.5000



Record 2
TbNdO3 (PBE-GGA, relaxed); space-group type = R32 (155); magnetic moment = 0.000 μB/f.u.; uncorrected formation energy = -16.449 eV/f.u.
1.0
2.8866 1.6666 5.5871
-2.8866 1.6666 5.5871
0.0000 -3.3332 5.5871
Tb Nd O
2 2 6
direct
0.1487 0.1487 0.1487
0.8513 0.8513 0.8513
0.3572 0.3572 0.3572
0.6428 0.6428 0.6428
0.0354 0.4526 0.7655
0.2345 0.5474 0.9646
0.4526 0.7655 0.0354
0.5474 0.9646 0.2345
0.7655 0.0354 0.4526
0.9646 0.2345 0.5474



Record 3
Tb2NdO (PBE-GGA, relaxed); space-group type = R-3m (166); magnetic moment = 0.001 μB/f.u.; uncorrected formation energy = -4.833 eV/f.u.
1.0
3.5110 0.0000 0.0000
-1.7555 3.0407 0.0000
0.0000 0.0000 28.4092
Tb Nd O
6 3 3
direct
0.0000 0.0000 0.1203
0.0000 0.0000 0.8797
0.3333 0.6667 0.5464
0.3333 0.6667 0.7869
0.6667 0.3333 0.2131
0.6667 0.3333 0.4536
0.0000 0.0000 0.0000
0.3333 0.6667 0.6667
0.6667 0.3333 0.3333
0.0000 0.0000 0.5000
0.3333 0.6667 0.1667
0.6667 0.3333 0.8333



Record 4
TbNd3O (PBE-GGA, relaxed); space-group type = Pm-3m (221); magnetic moment = 0.000 μB/f.u.; uncorrected formation energy = -5.472 eV/f.u.
1.0
5.1011 0.0000 0.0000
0.0000 5.1011 0.0000
0.0000 0.0000 5.1011
Tb Nd O
1 3 1
direct
0.0000 0.0000 0.0000
0.0000 0.5000 0.5000
0.5000 0.0000 0.5000
0.5000 0.5000 0.0000
0.5000 0.5000 0.5000



Record 5
TbNd3O6 (PBE-GGA, relaxed); space-group type = R-3 (148); magnetic moment = 0.000 μB/f.u.; uncorrected formation energy = -34.103 eV/f.u.
1.0
5.0117 2.8935 3.9053
-5.0117 2.8935 3.9053
0.0000 -5.7871 3.9053
Tb Nd O
2 6 12
direct
0.0000 0.0000 0.0000
0.5000 0.5000 0.5000
0.0562 0.5631 0.7518
0.2482 0.9438 0.4369
0.4369 0.2482 0.9438
0.5631 0.7518 0.0562
0.7518 0.0562 0.5631
0.9438 0.4369 0.2482
0.0319 0.9017 0.6884
0.0983 0.3116 0.9681
0.1896 0.5919 0.4331
0.3116 0.9681 0.0983
0.4081 0.5669 0.8104
0.4331 0.1896 0.5919
0.5669 0.8104 0.4081
0.5919 0.4331 0.1896
0.6884 0.0319 0.9017
0.8104 0.4081 0.5669
0.9017 0.6884 0.0319
0.9681 0.0983 0.3116



Record 6
Tb2NdO (PBE-GGA, relaxed); space-group type = P4/mmm (123); magnetic moment = 0.001 μB/f.u.; uncorrected formation energy = -3.203 eV/f.u.
1.0
3.2055 0.0000 0.0000
0.0000 3.2055 0.0000
0.0000 0.0000 8.9410
Tb Nd O
2 1 1
direct
0.0000 0.0000 0.1720
0.0000 0.0000 0.8280
0.5000 0.5000 0.5000
0.5000 0.5000 0.0000



Record 7
TbNdTc2O8 (PBE-GGA, relaxed); space-group type = I-4 (82); magnetic moment = 4.038 μB/f.u.; uncorrected formation energy = -26.709 eV/f.u.
1.0
-2.6356 2.6356 5.7128
2.6356 -2.6356 5.7128
2.6356 2.6356 -5.7128
Tb Nd Tc O
1 1 2 8
direct
0.0000 0.0000 0.0000
0.7500 0.2500 0.5000
0.2500 0.7500 0.5000
0.5000 0.5000 0.0000
0.0031 0.9149 0.5930
0.0851 0.6780 0.0881
0.1652 0.2462 0.5795
0.3220 0.4101 0.4070
0.4143 0.8348 0.0810
0.5899 0.9969 0.9119
0.6667 0.5857 0.4205
0.7538 0.3333 0.9190



Record 8
Tb2NdTcO8 (PBE-GGA, relaxed); space-group type = Cmmm (65); magnetic moment = 0.000 μB/f.u.; uncorrected formation energy = -31.053 eV/f.u.
1.0
3.5990 -3.6119 0.0000
3.5990 3.6119 0.0000
0.0000 0.0000 6.8718
Tb Nd Tc O
2 1 1 8
direct
0.0000 0.0000 0.2500
0.0000 0.0000 0.7500
0.5000 0.5000 0.0000
0.5000 0.5000 0.5000
0.1855 0.8145 0.0000
0.2363 0.7637 0.5000
0.3168 0.3168 0.2981
0.3168 0.3168 0.7019
0.6832 0.6832 0.2981
0.6832 0.6832 0.7019
0.7637 0.2363 0.5000
0.8145 0.1855 0.0000



Record 9
TbNdTeO2 (PBE-GGA, relaxed); space-group type = P2_1/m (11); magnetic moment = 0.000 μB/f.u.; uncorrected formation energy = -14.606 eV/f.u.
1.0
6.9467 0.0000 0.0000
0.0000 4.1555 0.0000
-2.3176 0.0000 7.5971
Tb Nd Te O
2 2 2 4
direct
0.1587 0.2500 0.4126
0.8413 0.7500 0.5874
0.1772 0.2500 0.9241
0.8228 0.7500 0.0759
0.4504 0.7500 0.2482
0.5496 0.2500 0.7518
0.0081 0.7500 0.3833
0.0167 0.7500 0.8729
0.9833 0.2500 0.1271
0.9919 0.2500 0.6167



Record 10
TbNdTeO6 (PBE-GGA, relaxed); space-group type = P-31c (163); magnetic moment = 0.000 μB/f.u.; uncorrected formation energy = -21.817 eV/f.u.
1.0
5.6234 0.0000 0.0000
-2.8117 4.8700 0.0000
0.0000 0.0000 9.8097
Tb Nd Te O
2 2 2 12
direct
0.3333 0.6667 0.2500
0.6667 0.3333 0.7500
0.0000 0.0000 0.0000
0.0000 0.0000 0.5000
0.3333 0.6667 0.7500
0.6667 0.3333 0.2500
0.0443 0.3786 0.6379
0.0443 0.6657 0.8621
0.3343 0.3786 0.8621
0.3343 0.9557 0.6379
0.3786 0.0443 0.1379
0.3786 0.3343 0.3621
0.6214 0.6657 0.6379
0.6214 0.9557 0.8621
0.6657 0.0443 0.3621
0.6657 0.6214 0.1379
0.9557 0.3343 0.1379
0.9557 0.6214 0.3621



Record 11
TbNd12Tl4O3 (PBE-GGA, relaxed); space-group type = Im-3m (229); magnetic moment = 0.000 μB/f.u.; uncorrected formation energy = -14.693 eV/f.u.
1.0
-5.1780 5.1780 5.1780
5.1780 -5.1780 5.1780
5.1780 5.1780 -5.1780
Tb Nd Tl O
1 12 4 3
direct
0.0000 0.0000 0.0000
0.0000 0.2751 0.2751
0.0000 0.7249 0.7249
0.2500 0.5000 0.7500
0.2500 0.7500 0.5000
0.2751 0.0000 0.2751
0.2751 0.2751 0.0000
0.5000 0.2500 0.7500
0.5000 0.7500 0.2500
0.7249 0.0000 0.7249
0.7249 0.7249 0.0000
0.7500 0.2500 0.5000
0.7500 0.5000 0.2500
0.0000 0.0000 0.5000
0.0000 0.5000 0.0000
0.5000 0.0000 0.0000
0.5000 0.5000 0.5000
0.0000 0.5000 0.5000
0.5000 0.0000 0.5000
0.5000 0.5000 0.0000



Record 12
Tb4Nd2Tl3O2 (PBE-GGA, relaxed); space-group type = I4/mmm (139); magnetic moment = 0.000 μB/f.u.; uncorrected formation energy = -13.814 eV/f.u.
1.0
-2.3677 2.3677 12.6899
2.3677 -2.3677 12.6899
2.3677 2.3677 -12.6899
Tb Nd Tl O
4 2 3 2
direct
0.0838 0.5838 0.5000
0.4162 0.9162 0.5000
0.5838 0.0838 0.5000
0.9162 0.4162 0.5000
0.1966 0.1966 0.0000
0.8034 0.8034 0.0000
0.3259 0.3259 0.0000
0.5000 0.5000 0.0000
0.6741 0.6741 0.0000
0.0978 0.0978 0.0000
0.9022 0.9022 0.0000